[1]
# Ca5MgPb4

A relaxed structure of Ca5MgPb4 (PBE-GGA, Alexandria via LeMat-Bulk).

The space group is P4/mmm (No. 123) and the conventional cell measures 3.7595, 3.7595 and 21.4358 Å, with angles of 90.00, 90.00 and 90.00 degrees. The inequivalent atoms are Ca at (0.0000, 0.0000, 0.0000), Ca at (0.0000, 0.0000, 0.2045), Ca at (0.0000, 0.0000, 0.4020), Mg at (0.5000, 0.5000, 0.5000), Pb at (0.5000, 0.5000, 0.1023) and Pb at (0.5000, 0.5000, 0.3066).

[2]
# CaMg3Pb2

A relaxed structure of CaMg3Pb2 (PBE-GGA, Alexandria via LeMat-Bulk).

The space group is C2/m (No. 12) and the conventional cell measures 19.3677, 4.5404 and 11.7011 Å, with angles of 90.00, 104.82 and 90.00 degrees. The inequivalent atoms are Ca at (0.0000, 0.0000, 0.0000), Ca at (0.1520, 0.0000, 0.7017), Mg at (0.0000, 0.5000, 0.5000), Mg at (0.0405, 0.0000, 0.3529), Mg at (0.1189, 0.5000, 0.2101), Mg at (0.1769, 0.5000, 0.9726), Mg at (0.2110, 0.0000, 0.3904), Pb at (0.0383, 0.5000, 0.7969), Pb at (0.1425, 0.5000, 0.4783) and Pb at (0.2013, 0.0000, 0.1387).

The offset from the most stable computed form is 0.000 eV/atom.

[3]
# Ca4Mg2Pb5

A relaxed structure of Ca4Mg2Pb5 (PBE-GGA, Alexandria via LeMat-Bulk).

The space group is Ibam (No. 72) and the conventional cell measures 10.1144, 19.9429 and 6.5360 Å, with angles of 90.00, 90.00 and 90.00 degrees. The inequivalent atoms are Ca at (0.1087, 0.1381, 0.0000), Ca at (0.2504, 0.0602, 0.5000), Mg at (0.0000, 0.3006, 0.2500), Pb at (0.0000, 0.0000, 0.2500), Pb at (0.0727, 0.4262, 0.5000) and Pb at (0.2059, 0.2224, 0.5000).

[4]
# CaMg4Pb2

A relaxed structure of CaMg4Pb2 (PBE-GGA, Alexandria via LeMat-Bulk).

The space group is P4_2/mnm (No. 136) and the conventional cell measures 8.9716, 8.9716 and 4.6559 Å, with angles of 90.00, 90.00 and 90.00 degrees. The inequivalent atoms are Ca at (0.0000, 0.0000, 0.0000), Mg at (0.0931, 0.3498, 0.5000) and Pb at (0.2052, 0.7948, 0.5000).

[5]
# Ca2Mg2Pb

A relaxed structure of Ca2Mg2Pb (PBE-GGA, Alexandria via LeMat-Bulk).

The space group is P4/mbm (No. 127) and the conventional cell measures 8.8733, 8.8733 and 4.0417 Å, with angles of 90.00, 90.00 and 90.00 degrees. The inequivalent atoms are Ca at (0.1577, 0.3423, 0.0000), Mg at (0.1379, 0.6379, 0.5000) and Pb at (0.0000, 0.0000, 0.0000).

The offset from the most stable computed form is 0.191 eV/atom.

[6]
# CaMg3Pb2

A relaxed structure of CaMg3Pb2 (PBE-GGA, Alexandria via LeMat-Bulk).

The space group is C2/m (No. 12) and the conventional cell measures 17.7859, 4.7758 and 8.3970 Å, with angles of 90.00, 113.89 and 90.00 degrees. The inequivalent atoms are Ca at (0.1158, 0.0000, 0.1723), Mg at (0.0661, 0.0000, 0.6887), Mg at (0.1269, 0.5000, 0.5051), Mg at (0.1961, 0.5000, 0.9068), Pb at (0.0172, 0.5000, 0.8276) and Pb at (0.2383, 0.0000, 0.6849).

The offset from the most stable computed form is 0.002 eV/atom.

[7]
# Ca3MgPb4

A relaxed structure of Ca3MgPb4 (PBE-GGA, Alexandria via LeMat-Bulk).

The space group is P4/mmm (No. 123) and the conventional cell measures 3.9601, 3.9601 and 15.1145 Å, with angles of 90.00, 90.00 and 90.00 degrees. The inequivalent atoms are Ca at (0.0000, 0.0000, 0.0000), Ca at (0.0000, 0.0000, 0.2594), Mg at (0.0000, 0.0000, 0.5000), Pb at (0.5000, 0.5000, 0.1294) and Pb at (0.5000, 0.5000, 0.3903).

[8]
# CaMg2Pb4

A relaxed structure of CaMg2Pb4 (PBE-GGA, Alexandria via LeMat-Bulk).

The space group is R-3m (No. 166, hexagonal axes) and the conventional cell measures 5.2941, 5.2941 and 25.2427 Å, with angles of 90.00, 90.00 and 120.00 degrees. The inequivalent atoms are Ca at (0.0000, 0.0000, 0.0000), Mg at (0.0000, 0.0000, 0.2539), Pb at (0.0000, 0.0000, 0.1321) and Pb at (0.0000, 0.0000, 0.3872).

[9]
# Ca6MgPb5

A relaxed structure of Ca6MgPb5 (PBE-GGA, Alexandria via LeMat-Bulk).

The space group is Cmmm (No. 65) and the conventional cell measures 5.1320, 15.7708 and 8.9263 Å, with angles of 90.00, 90.00 and 90.00 degrees. The inequivalent atoms are Ca at (0.0000, 0.0000, 0.2292), Ca at (0.0000, 0.3292, 0.2574), Mg at (0.0000, 0.5000, 0.5000), Pb at (0.0000, 0.1434, 0.5000), Pb at (0.0000, 0.1718, 0.0000) and Pb at (0.0000, 0.5000, 0.0000).

[10]
# CaMg12Pb6

A relaxed structure of CaMg12Pb6 (PBE-GGA, Alexandria via LeMat-Bulk).

The space group is R-3m (No. 166, hexagonal axes) and the conventional cell measures 13.8008, 13.8008 and 9.6163 Å, with angles of 90.00, 90.00 and 120.00 degrees. The inequivalent atoms are Ca at (0.0000, 0.0000, 0.0000), Mg at (0.0000, 0.3905, 0.5000), Mg at (0.0768, 0.1536, 0.3282) and Pb at (0.0175, 0.5087, 0.2339).

[11]
# CaMg3Pb

A relaxed structure of CaMg3Pb (PBE-GGA, Alexandria via LeMat-Bulk).

The space group is Pm-3m (No. 221) and the conventional cell measures 5.5479, 5.5479 and 5.5479 Å, with angles of 90.00, 90.00 and 90.00 degrees. The inequivalent atoms are Ca at (0.0000, 0.0000, 0.0000), Mg at (0.0000, 0.5000, 0.5000) and Pb at (0.5000, 0.5000, 0.5000).

The offset from the most stable computed form is 0.000 eV/atom.

[12]
# Ca2Mg2Pb3

A relaxed structure of Ca2Mg2Pb3 (PBE-GGA, Alexandria via LeMat-Bulk).

The space group is Cmmm (No. 65) and the conventional cell measures 3.6630, 29.8169 and 3.7182 Å, with angles of 90.00, 90.00 and 90.00 degrees. The inequivalent atoms are Ca at (0.0000, 0.0729, 0.0000), Mg at (0.0000, 0.2086, 0.0000), Pb at (0.0000, 0.3500, 0.5000) and Pb at (0.0000, 0.5000, 0.5000).

[13]
# CaMg2Pb5

A relaxed structure of CaMg2Pb5 (PBE-GGA, Alexandria via LeMat-Bulk).

The space group is C2/m (No. 12) and the conventional cell measures 11.5871, 5.8025 and 7.2488 Å, with angles of 90.00, 107.68 and 90.00 degrees. The inequivalent atoms are Ca at (0.0000, 0.0000, 0.0000), Mg at (0.0069, 0.5000, 0.2814), Pb at (0.0000, 0.0000, 0.5000), Pb at (0.2238, 0.5000, 0.1085) and Pb at (0.2426, 0.5000, 0.6314).

The offset from the most stable computed form is 0.009 eV/atom.

[14]
# CaMgPb3

A relaxed structure of CaMgPb3 (PBE-GGA, Alexandria via LeMat-Bulk).

The space group is C2/m (No. 12) and the conventional cell measures 32.5130, 3.6120 and 5.3688 Å, with angles of 90.00, 98.95 and 90.00 degrees. The inequivalent atoms are Ca at (0.0680, 0.0000, 0.3060), Mg at (0.1208, 0.5000, 0.8523), Pb at (0.0284, 0.5000, 0.7717), Pb at (0.1667, 0.5000, 0.3959) and Pb at (0.2055, 0.0000, 0.9319).

The offset from the most stable computed form is 0.015 eV/atom.

[15]
# Ca4MgPb3

A relaxed structure of Ca4MgPb3 (PBE-GGA, Alexandria via LeMat-Bulk).

The space group is I4/mcm (No. 140) and the conventional cell measures 12.4588, 12.4588 and 6.2106 Å, with angles of 90.00, 90.00 and 90.00 degrees. The inequivalent atoms are Ca at (0.0814, 0.2180, 0.0000), Mg at (0.0000, 0.5000, 0.2500), Pb at (0.0000, 0.0000, 0.2500) and Pb at (0.1535, 0.3465, 0.5000).

[16]
# Ca3MgPb

A relaxed structure of Ca3MgPb (PBE-GGA, Alexandria via LeMat-Bulk).

The space group is P-1 (No. 2) and the conventional cell measures 3.5954, 8.3339 and 11.4921 Å, with angles of 75.86, 89.97 and 89.91 degrees. The inequivalent atoms are Ca at (0.0002, 0.1835, 0.0587), Ca at (0.0020, 0.7654, 0.4483), Ca at (0.0041, 0.4960, 0.2347), Mg at (0.4985, 0.8721, 0.6702) and Pb at (0.4982, 0.1578, 0.8077).

The offset from the most stable computed form is 0.000 eV/atom.

[17]
# CaMg2Pb5

A relaxed structure of CaMg2Pb5 (PBE-GGA, Alexandria via LeMat-Bulk).

The space group is I4/mcm (No. 140) and the conventional cell measures 8.3673, 8.3673 and 13.2048 Å, with angles of 90.00, 90.00 and 90.00 degrees. The inequivalent atoms are Ca at (0.0000, 0.0000, 0.2500), Mg at (0.1447, 0.3553, 0.0000), Pb at (0.0000, 0.0000, 0.0000) and Pb at (0.1436, 0.3564, 0.3410).

The offset from the most stable computed form is 0.000 eV/atom.

[18]
# CaMg2Pb2

A relaxed structure of CaMg2Pb2 (PBE-GGA, Alexandria via LeMat-Bulk).

The space group is C2/m (No. 12) and the conventional cell measures 8.7954, 5.0697 and 6.6500 Å, with angles of 90.00, 107.22 and 90.00 degrees. The inequivalent atoms are Ca at (0.0000, 0.0000, 0.0000), Mg at (0.2481, 0.5000, 0.3563) and Pb at (0.1136, 0.5000, 0.7478).

[19]
# CaMg3Pb6

A relaxed structure of CaMg3Pb6 (PBE-GGA, Alexandria via LeMat-Bulk).

The space group is P2_1/m (No. 11) and the conventional cell measures 10.3548, 4.9332 and 11.0814 Å, with angles of 90.00, 96.29 and 90.00 degrees. The inequivalent atoms are Ca at (0.0658, 0.2500, 0.3907), Mg at (0.2488, 0.2500, 0.0044), Mg at (0.3439, 0.7500, 0.8062), Mg at (0.4449, 0.2500, 0.6006), Pb at (0.0598, 0.7500, 0.9043), Pb at (0.1615, 0.7500, 0.1942), Pb at (0.1662, 0.2500, 0.7084), Pb at (0.2723, 0.7500, 0.5120), Pb at (0.3784, 0.2500, 0.2996) and Pb at (0.4597, 0.7500, 0.0973).

[20]
# Ca4MgPb2

A relaxed structure of Ca4MgPb2 (PBE-GGA, Alexandria via LeMat-Bulk).

The space group is R-3m (No. 166, hexagonal axes) and the conventional cell measures 5.4666, 5.4666 and 26.5347 Å, with angles of 90.00, 90.00 and 120.00 degrees. The inequivalent atoms are Ca at (0.0000, 0.0000, 0.1218), Ca at (0.0000, 0.0000, 0.3730), Mg at (0.0000, 0.0000, 0.5000) and Pb at (0.0000, 0.0000, 0.2495).

no.,formation energy from the elements (eV per atom),D(E_F) (states/eV/f.u.),E_tot (eV per atom)
1,-0.452,5.10,-3.095
2,-0.202,1.67,-2.569
3,-0.369,4.43,-3.072
4,-0.186,3.27,-2.443
5,0.024,4.31,-2.156
6,-0.200,2.24,-2.567
7,-0.390,4.32,-3.194
8,-0.176,2.74,-3.037
9,-0.467,6.62,-3.146
10,0.010,7.17,-2.274
11,0.267,4.39,-1.832
12,-0.255,2.85,-2.872
13,-0.100,4.78,-3.067
14,-0.137,2.51,-3.082
15,-0.492,8.29,-3.083
16,-0.219,3.00,-2.480
17,-0.109,4.75,-3.076
18,-0.250,1.02,-2.771
19,-0.136,3.56,-3.039
20,-0.422,2.16,-2.853